# Ca2TiAgSn GGA-PBE relaxed
data_Ca2TiAgSn
_chemical_formula_sum 'Ca2 Ti1 Ag1 Sn1'
_cell_length_a 5.935
_cell_length_b 5.935
_cell_length_c 5.141
_cell_angle_alpha 90.00
_cell_angle_beta 90.00
_cell_angle_gamma 90.00
_space_group_name_H-M_alt 'P 4/m m m'
_space_group_IT_number 123
_space_group_name_Hall '-P 4 2'
loop_
_atom_site_label
_atom_site_fract_x
_atom_site_fract_y
_atom_site_fract_z
_atom_site_occupancy
Ca1 0.000 0.500 0.000 1
Ti1 0.000 0.000 0.500 1
Ag1 0.500 0.500 0.500 1
Sn1 0.500 0.500 0.000 1
# * ΔH_f (0 K): 55 kJ per mole of atoms

# Ca2TiAgSn GGA-PBE relaxed
data_Ca2TiAgSn
_chemical_formula_sum 'Ca2 Ti1 Ag1 Sn1'
_cell_length_a 5.478
_cell_length_b 5.478
_cell_length_c 5.057
_cell_angle_alpha 90.00
_cell_angle_beta 90.00
_cell_angle_gamma 90.00
_space_group_name_H-M_alt 'P 4/m m m'
_space_group_IT_number 123
_space_group_name_Hall '-P 4 2'
loop_
_atom_site_label
_atom_site_fract_x
_atom_site_fract_y
_atom_site_fract_z
_atom_site_occupancy
Ca1 0.000 0.500 0.000 1
Ti1 0.000 0.000 0.500 1
Ag1 0.000 0.000 0.000 1
Sn1 0.500 0.500 0.500 1
# * ΔH_f (0 K): 29 kJ per mole of atoms

# CaTlAgSn GGA-PBE relaxed
data_CaTlAgSn
_chemical_formula_sum 'Ca4 Tl4 Ag4 Sn4'
_cell_length_a 7.390
_cell_length_b 7.390
_cell_length_c 7.390
_cell_angle_alpha 90.00
_cell_angle_beta 90.00
_cell_angle_gamma 90.00
_space_group_name_H-M_alt 'F -4 3 m'
_space_group_IT_number 216
_space_group_name_Hall 'F -4 2 3'
loop_
_atom_site_label
_atom_site_fract_x
_atom_site_fract_y
_atom_site_fract_z
_atom_site_occupancy
Ca1 0.000 0.000 0.000 1
Tl1 0.250 0.250 0.250 1
Ag1 0.000 0.000 0.500 1
Sn1 0.250 0.250 0.750 1
# * ΔH_f (0 K): -24 kJ per mole of atoms

# CaTmAgSn GGA-PBE relaxed
data_CaTmAgSn
_chemical_formula_sum 'Ca4 Tm4 Ag4 Sn4'
_cell_length_a 7.412
_cell_length_b 7.412
_cell_length_c 7.412
_cell_angle_alpha 90.00
_cell_angle_beta 90.00
_cell_angle_gamma 90.00
_space_group_name_H-M_alt 'F -4 3 m'
_space_group_IT_number 216
_space_group_name_Hall 'F -4 2 3'
loop_
_atom_site_label
_atom_site_fract_x
_atom_site_fract_y
_atom_site_fract_z
_atom_site_occupancy
Ca1 0.000 0.000 0.000 1
Tm1 0.000 0.000 0.500 1
Ag1 0.250 0.250 0.250 1
Sn1 0.250 0.250 0.750 1
# * ΔH_f (0 K): -50 kJ per mole of atoms

# CaAg2SnW GGA-PBE relaxed
data_CaAg2SnW
_chemical_formula_sum 'Ca1 Ag2 Sn1 W1'
_cell_length_a 5.077
_cell_length_b 5.077
_cell_length_c 5.618
_cell_angle_alpha 90.00
_cell_angle_beta 90.00
_cell_angle_gamma 90.00
_space_group_name_H-M_alt 'P 4/m m m'
_space_group_IT_number 123
_space_group_name_Hall '-P 4 2'
loop_
_atom_site_label
_atom_site_fract_x
_atom_site_fract_y
_atom_site_fract_z
_atom_site_occupancy
Ca1 0.000 0.000 0.000 1
Ag1 0.000 0.500 0.000 1
Sn1 0.000 0.000 0.500 1
W1 0.500 0.500 0.500 1
# * ΔH_f (0 K): 177 kJ per mole of atoms

# CaZn2AgSn GGA-PBE relaxed
data_CaZn2AgSn
_chemical_formula_sum 'Ca1 Zn2 Ag1 Sn1'
_cell_length_a 4.908
_cell_length_b 4.908
_cell_length_c 5.506
_cell_angle_alpha 90.00
_cell_angle_beta 90.00
_cell_angle_gamma 90.00
_space_group_name_H-M_alt 'P 4/m m m'
_space_group_IT_number 123
_space_group_name_Hall '-P 4 2'
loop_
_atom_site_label
_atom_site_fract_x
_atom_site_fract_y
_atom_site_fract_z
_atom_site_occupancy
Ca1 0.000 0.000 0.000 1
Zn1 0.000 0.500 0.500 1
Ag1 0.000 0.000 0.500 1
Sn1 0.500 0.500 0.000 1
# * ΔH_f (0 K): 13 kJ per mole of atoms

Q: Among the records above, which one has the highest ΔH_f (0 K)?
A: CaAg2SnW

Q: Which of these has the lowest ΔH_f (0 K)?
A: CaTmAgSn

Q: Look up the ΔH_f (0 K) of the second one.
A: 29 kJ per mole of atoms